Crystalline Ga2Se3O8 at its relaxed geometry, computed with PBE.

Cell lengths 13.4220, 5.0927, 13.1022 Å; angles 90.00, 120.34, 90.00 degrees
Space group C2/c (No. 15)
Inequivalent atoms, fractional coordinates:
Ga  0.2319  0.1668  0.3255 [8 per cell]
Se  0.0000  0.2087  0.7500 [4 per cell]
Se  0.1520  0.1135  0.0380 [8 per cell]
O  0.1101  0.0293  0.3424 [8 per cell]
O  0.1110  0.1661  0.5813 [8 per cell]
O  0.1929  0.3254  0.1760 [8 per cell]
O  0.2109  0.4933  0.4122 [8 per cell]

Size of the total moment ... 0.000 μB/f.u.
Energy ... -5.320 eV per atom

=====

Crystalline HgB2Mo2 at its relaxed geometry, computed with PBE.

Cell lengths 6.8389, 6.8389, 2.9102 Å; angles 90.00, 90.00, 90.00 degrees
Space group P4/mbm (No. 127)
Inequivalent atoms, fractional coordinates:
Hg  0.0000  0.0000  0.0000 [2 per cell]
B  0.1508  0.3492  0.5000 [4 per cell]
Mo  0.1279  0.6279  0.0000 [4 per cell]

Formation energy ... 0.639 eV/atom
Size of the total moment ... 0.000 μB/f.u.
Energy relative to the lowest polymorph listed for this composition ... 165.3 meV per atom
Energy ... -6.425 eV per atom

=====

> What is the formula in the second record?

HgB2Mo2